1.
This record from Alexandria describes crystalline HoVW at its relaxed geometry. The functional is PBE-GGA.

Output
- Calculated formation energy: 1.5 eV per formula unit
- Space-group type: No. 69
- Size of the total moment: 0.001 μB/atom

Cell and atoms, written as extended XYZ:
```
6
Lattice="0.0000 4.0082 5.1873 2.9403 0.0000 5.1873 2.9403 4.0082 0.0000" Properties=species:S:1:pos:R:3 pbc="T T T"
Ho 2.9403 1.5101 5.1873
Ho 2.9403 6.5062 5.1873
V 2.9403 4.0082 3.3316
V 2.9403 4.0082 7.0430
W 1.4702 2.0041 2.5936
W 4.4105 6.0122 7.7809
```

2.
This record from Alexandria describes crystalline YHoV at its relaxed geometry. The functional is PBE-GGA.

Output
- Calculated formation energy: 1.2 eV per formula unit
- Space-group type: No. 8
- Size of the total moment: 0.790 μB/atom

Cell and atoms, written as extended XYZ:
```
6
Lattice="5.4994 -2.6409 0.0000 5.4994 2.6409 0.0000 -3.9379 0.0000 5.2769" Properties=species:S:1:pos:R:3 pbc="T T T"
Y 0.0000 0.0000 0.0000
Y 3.5403 0.0000 4.6843
Ho 3.5372 0.0000 0.5926
Ho 9.0262 0.0000 2.6298
V 1.1183 0.0000 2.8982
V 5.9347 0.0000 2.3703
```

3.
This record from Alexandria describes crystalline HoZrV at its relaxed geometry. The functional is PBE-GGA.

Output
- Calculated formation energy: 0.6 eV per formula unit
- Space-group type: No. 139
- Size of the total moment: 0.000 μB/atom

Cell and atoms, written as extended XYZ:
```
6
Lattice="-1.6016 1.6016 13.3284 1.6016 -1.6016 13.3284 1.6016 1.6016 -13.3284" Properties=species:S:1:pos:R:3 pbc="T T T"
Ho 0.0000 0.0000 1.7254
Ho 0.0000 0.0000 24.9313
Zr 0.0000 0.0000 9.1510
Zr 0.0000 0.0000 17.5057
V 0.0000 0.0000 6.0755
V 0.0000 0.0000 20.5813
```

4.
This record from Alexandria describes crystalline HoZrV4 at its relaxed geometry. The functional is PBE-GGA.

Output
- Calculated formation energy: 1.3 eV per formula unit
- Space-group type: No. 216
- Size of the total moment: 0.000 μB/atom

Cell and atoms, written as extended XYZ:
```
6
Lattice="0.0000 3.7291 3.7291 3.7291 0.0000 3.7291 3.7291 3.7291 0.0000" Properties=species:S:1:pos:R:3 pbc="T T T"
Ho 0.0000 0.0000 0.0000
Zr 1.8646 1.8646 1.8646
V 4.6631 2.7952 2.7952
V 2.7952 4.6631 2.7952
V 2.7952 2.7952 4.6631
V 4.6631 4.6631 4.6631
```

5.
This record from Alexandria describes crystalline HoZr2V at its relaxed geometry. The functional is PBE-GGA.

Output
- Calculated formation energy: 1.2 eV per formula unit
- Space-group type: No. 166
- Size of the total moment: 0.375 μB/atom
- Energy relative to the lowest polymorph listed for this composition: 117 meV/atom

Cell and atoms, written as extended XYZ:
```
4
Lattice="1.6225 0.9368 9.9305 -1.6225 0.9368 9.9305 0.0000 -1.8735 9.9305" Properties=species:S:1:pos:R:3 pbc="T T T"
Ho 0.0000 0.0000 0.0000
Zr 0.0000 0.0000 7.0998
Zr 0.0000 0.0000 22.6917
V 0.0000 0.0000 14.8958
```

6.
This record from Alexandria describes crystalline HoZr2V at its relaxed geometry. The functional is PBE-GGA.

Output
- Calculated formation energy: 0.7 eV per formula unit
- Space-group type: No. 123
- Size of the total moment: 0.002 μB/atom
- Energy relative to the lowest polymorph listed for this composition: 0 meV/atom

Cell and atoms, written as extended XYZ:
```
4
Lattice="3.4087 0.0000 0.0000 0.0000 3.4087 0.0000 0.0000 0.0000 7.6983" Properties=species:S:1:pos:R:3 pbc="T T T"
Ho 0.0000 0.0000 0.0000
Zr 1.7043 1.7043 2.3132
Zr 1.7043 1.7043 5.3852
V 0.0000 0.0000 3.8492
```